(1)
VASP calculation (GGA-PBE) on Li6MnCl8 after structural relaxation.

Cell: 7.0054 7.0054 7.0054 Å, 85.98 85.98 85.98°
Closest atoms and distances in Å follow each position.
Positions (direct):
Cl 0.8300 0.8300 0.8300  1 Mn 2.20
Cl 0.1624 0.3611 0.6631  4 Li 2.39-2.43
Cl 0.3611 0.6631 0.1624  4 Li 2.39-2.43
Cl 0.6631 0.1624 0.3611  4 Li 2.39-2.43
Cl 0.3369 0.8376 0.6389  4 Li 2.39-2.43
Cl 0.6389 0.3369 0.8376  4 Li 2.39-2.43
Cl 0.8376 0.6389 0.3369  4 Li 2.39-2.43
Cl 0.1700 0.1700 0.1700  1 Mn 2.20
Li 0.3503 0.5511 0.8484  4 Cl 2.39-2.43
Li 0.6497 0.4489 0.1516  4 Cl 2.39-2.43
Li 0.5511 0.8484 0.3503  4 Cl 2.39-2.43
Li 0.8484 0.3503 0.5511  4 Cl 2.39-2.43
Li 0.4489 0.1516 0.6497  4 Cl 2.39-2.43
Li 0.1516 0.6497 0.4489  4 Cl 2.39-2.43
Mn 0.0000 0.0000 0.0000  2 Cl 2.20

## Properties
Electronic total energy: -3.929 eV/atom
Excess energy over the best structure of this formula in the dataset: 0.0 meV/atom



(2)
VASP calculation (GGA-PBE) on LiMnCl after structural relaxation.

Cell: 4.3226 4.3226 4.3226 Å, 60.00 60.00 60.00°
Closest atoms and distances in Å follow each position.
Positions (direct):
Cl 0.7500 0.7500 0.7500  4 Li 2.65, 4 Mn 2.65
Li 0.0000 0.0000 0.0000  4 Cl 2.65
Mn 0.5000 0.5000 0.5000  4 Cl 2.65

## Properties
Electronic total energy: -4.179 eV/atom
Excess energy over the best structure of this formula in the dataset: 470.7 meV/atom



(3)
VASP calculation (GGA-PBE) on LiMnCl after structural relaxation.

Cell: 3.2760 3.2760 5.8809 Å, 90.00 90.00 120.00°
Closest atoms and distances in Å follow each position.
Positions (direct):
Mn 0.3333 0.6667 0.6831  3 Cl 2.77, 3 Li 2.99
Cl 0.0000 0.0000 0.0284  3 Li 2.43
Li 0.6667 0.3333 0.2885  3 Cl 2.43

## Properties
Electronic total energy: -4.650 eV/atom
Excess energy over the best structure of this formula in the dataset: 0.0 meV/atom



(4)
VASP calculation (GGA-PBE) on Li3MnCl after structural relaxation.

Cell: 4.6452 4.6452 4.6452 Å, 90.00 90.00 90.00°
Closest atoms and distances in Å follow each position.
Positions (direct):
Mn 0.5000 0.5000 0.5000  12 Li 3.28
Li 0.0000 0.0000 0.5000  2 Cl 2.32
Li 0.0000 0.5000 0.0000  2 Cl 2.32
Li 0.5000 0.0000 0.0000  2 Cl 2.32
Cl 0.0000 0.0000 0.0000  6 Li 2.32

## Properties
Electronic total energy: -3.507 eV/atom
Excess energy over the best structure of this formula in the dataset: 0.0 meV/atom



(5)
VASP calculation (GGA-PBE) on Li2Mn2Cl7 after structural relaxation.

Cell: 6.6838 7.0470 7.0470 Å, 116.65 90.08 90.08°
Closest atoms and distances in Å follow each position.
Positions (direct):
Cl 0.6999 0.0768 0.4154  1 Mn 2.35, 2 Li 2.47-2.49
Cl 0.3001 0.9232 0.5846  1 Mn 2.35, 2 Li 2.47-2.49
Cl 0.0000 0.0000 0.0000  2 Mn 2.34
Cl 0.2132 0.3953 0.3953  2 Mn 2.37-2.42
Cl 0.7868 0.6047 0.6047  2 Mn 2.37-2.42
Cl 0.3001 0.5846 0.9232  1 Mn 2.35, 2 Li 2.47-2.49
Cl 0.6999 0.4154 0.0768  1 Mn 2.35, 2 Li 2.47-2.49
Mn 0.8698 0.2930 0.2930  5 Cl 2.34-2.42
Mn 0.1302 0.7070 0.7070  5 Cl 2.34-2.42
Li 0.5000 0.7433 0.2567  4 Cl 2.47-2.49
Li 0.5000 0.2567 0.7433  4 Cl 2.47-2.49

## Properties
Electronic total energy: -4.470 eV/atom
Excess energy over the best structure of this formula in the dataset: 0.0 meV/atom



(6)
VASP calculation (GGA-PBE) on Li2MnCl4 after structural relaxation.

Cell: 7.4538 7.4538 7.4538 Å, 120.21 119.24 90.48°
Closest atoms and distances in Å follow each position.
Positions (direct):
Li 0.8900 0.6400 0.2500  4 Cl 2.38-2.45
Li 0.5000 0.0000 0.0000  6 Cl 2.57-2.62
Li 0.5000 0.5000 0.5000  6 Cl 2.57-2.62
Li 0.1100 0.3600 0.7500  4 Cl 2.38-2.45
Cl 0.7490 0.7617 0.5127  2 Li 2.45-2.62, 2 Mn 2.58
Cl 0.7466 0.7626 0.9840  3 Li 2.38-2.57, 1 Mn 2.49
Cl 0.2534 0.2374 0.0160  3 Li 2.38-2.57, 1 Mn 2.49
Cl 0.2786 0.7626 0.5160  3 Li 2.38-2.57, 1 Mn 2.49
Cl 0.7490 0.2362 0.9873  2 Li 2.45-2.62, 2 Mn 2.58
Cl 0.2510 0.2383 0.4873  2 Li 2.45-2.62, 2 Mn 2.58
Cl 0.7214 0.2374 0.4840  3 Li 2.38-2.57, 1 Mn 2.49
Cl 0.2510 0.7638 0.0127  2 Li 2.45-2.62, 2 Mn 2.58
Mn 0.0000 0.0000 0.0000  6 Cl 2.49-2.58
Mn 0.5000 0.0000 0.5000  6 Cl 2.49-2.58

## Properties
Electronic total energy: -4.416 eV/atom
Excess energy over the best structure of this formula in the dataset: 0.0 meV/atom



(7)
VASP calculation (GGA-PBE) on Li3Mn2Cl7 after structural relaxation.

Cell: 6.6623 6.5576 11.7918 Å, 106.14 90.00 90.00°
Closest atoms and distances in Å follow each position.
Positions (direct):
Mn 0.7500 0.3553 0.2137  6 Cl 2.50-2.62
Mn 0.2500 0.6447 0.7863  6 Cl 2.50-2.62
Mn 0.2500 0.8584 0.2137  6 Cl 2.50-2.62
Mn 0.7500 0.1416 0.7863  6 Cl 2.50-2.62
Cl 0.9166 0.9869 0.1548  1 Li 2.51, 2 Mn 2.54-2.57
Cl 0.5680 0.4405 0.7258  2 Mn 2.50-2.57, 1 Li 2.52
Cl 0.0680 0.5595 0.2742  2 Mn 2.50-2.57, 1 Li 2.52
Cl 0.8326 0.3747 0.0000  2 Li 2.45-2.64, 2 Mn 2.62
Cl 0.5680 0.7147 0.2742  2 Mn 2.50-2.57, 1 Li 2.52
Cl 0.3326 0.6253 0.0000  2 Li 2.45-2.64, 2 Mn 2.62
Cl 0.0680 0.2853 0.7258  2 Mn 2.50-2.57, 1 Li 2.52
Cl 0.4166 0.1680 0.1548  1 Li 2.51, 2 Mn 2.54-2.57
Cl 0.6844 0.3347 0.4194  3 Li 2.44-2.54, 1 Mn 2.51
Cl 0.1844 0.0847 0.4194  3 Li 2.44-2.54, 1 Mn 2.51
Cl 0.9166 0.8320 0.8452  1 Li 2.51, 2 Mn 2.54-2.57
Cl 0.6844 0.9153 0.5806  3 Li 2.44-2.54, 1 Mn 2.51
Cl 0.4166 0.0131 0.8452  1 Li 2.51, 2 Mn 2.54-2.57
Cl 0.1844 0.6653 0.5806  3 Li 2.44-2.54, 1 Mn 2.51
Li 0.7151 0.7284 0.0000  4 Cl 2.45-2.64
Li 0.3171 0.0222 0.6062  4 Cl 2.44-2.54
Li 0.3171 0.4161 0.3938  4 Cl 2.44-2.54
Li 0.2151 0.2716 0.0000  4 Cl 2.45-2.64
Li 0.8171 0.9778 0.3938  4 Cl 2.44-2.54
Li 0.8171 0.5839 0.6062  4 Cl 2.44-2.54

## Properties
Electronic total energy: -4.492 eV/atom



(8)
VASP calculation (GGA-PBE) on LiMnCl after structural relaxation.

Cell: 6.5901 6.2098 3.2419 Å, 81.94 68.91 29.15°
Closest atoms and distances in Å follow each position.
Positions (direct):
Li 0.3510 0.3510 0.6490  2 Cl 2.36
Cl 0.9896 0.9896 0.0104  2 Li 2.36, 2 Mn 2.63
Mn 0.6594 0.6594 0.3406  2 Cl 2.63, 2 Li 2.84

## Properties
Electronic total energy: -4.613 eV/atom
Excess energy over the best structure of this formula in the dataset: 36.6 meV/atom



(9)
VASP calculation (GGA-PBE) on Li6MnCl8 after structural relaxation.

Cell: 7.2437 7.2437 7.2437 Å, 60.00 60.00 60.00°
Closest atoms and distances in Å follow each position.
Positions (direct):
Cl 0.2325 0.7675 0.2325  1 Mn 2.38, 4 Li 2.57
Cl 0.2325 0.7675 0.7675  1 Mn 2.38, 4 Li 2.57
Cl 0.2325 0.2325 0.7675  1 Mn 2.38, 4 Li 2.57
Cl 0.7675 0.2325 0.2325  1 Mn 2.38, 4 Li 2.57
Cl 0.7500 0.7500 0.7500  6 Li 2.56
Cl 0.7675 0.7675 0.2325  1 Mn 2.38, 4 Li 2.57
Cl 0.2500 0.2500 0.2500  6 Li 2.56
Cl 0.7675 0.2325 0.7675  1 Mn 2.38, 4 Li 2.57
Li 0.5000 0.5000 0.0000  6 Cl 2.56-2.57
Li 0.5000 0.0000 0.5000  6 Cl 2.56-2.57
Li 0.0000 0.5000 0.5000  6 Cl 2.56-2.57
Li 0.5000 0.0000 0.0000  6 Cl 2.56-2.57
Li 0.0000 0.5000 0.0000  6 Cl 2.56-2.57
Li 0.0000 0.0000 0.5000  6 Cl 2.56-2.57
Mn 0.0000 0.0000 0.0000  6 Cl 2.38

## Properties
Electronic total energy: -3.879 eV/atom
Excess energy over the best structure of this formula in the dataset: 50.1 meV/atom



Density
In order: 1.85, 2.83, 2.96, 1.84, 2.08, 2.38, 2.54, 2.90, 2.35
Unit: g/cm³